No. 1
Compound: La5TbS6
Source: Alexandria via LeMat-Bulk
Functional: PBE
Structure: relaxed

Results
calculated volume	296.4	Å³/cell
E_form (uncorrected)	-25.7	eV/f.u.

abc: 7.139 7.139 7.134
angles: 99.68 99.68 120.06
Fractional coordinates of all 12 atoms:
La 0.000 0.000 0.000
La 0.166 0.834 0.500
La 0.331 0.669 0.000
La 0.669 0.331 0.000
La 0.834 0.166 0.500
Tb 0.500 0.500 0.500
S 0.096 0.419 0.258
S 0.259 0.259 0.746
S 0.419 0.096 0.258
S 0.581 0.904 0.742
S 0.741 0.741 0.254
S 0.904 0.581 0.742

---

No. 2
Compound: HfO2F2
Source: Alexandria via LeMat-Bulk
Functional: PBE
Structure: relaxed

Results
calculated volume	68.7	Å³/cell
E_form (uncorrected)	-11.6	eV/f.u.

abc: 4.134 4.134 4.019
angles: 90.00 90.00 90.00
Fractional coordinates of all 5 atoms:
Hf 0.000 0.000 0.000
O 0.000 0.000 0.500
O 0.500 0.500 0.500
F 0.000 0.500 0.000
F 0.500 0.000 0.000

---

No. 3
Compound: Cs2HfSbIr
Source: Alexandria via LeMat-Bulk
Functional: PBE
Structure: relaxed

Results
calculated volume	217.6	Å³/cell
E_form (uncorrected)	3.6	eV/f.u.

abc: 6.695 6.695 4.855
angles: 90.00 90.00 90.00
Fractional coordinates of all 5 atoms:
Cs 0.000 0.500 0.000
Cs 0.500 0.000 0.000
Hf 0.000 0.000 0.500
Sb 0.500 0.500 0.500
Ir 0.000 0.000 0.000

---

No. 4
Compound: Sr2SbOs
Source: Alexandria via LeMat-Bulk
Functional: PBE
Structure: relaxed

Results
calculated volume	123.6	Å³/cell
E_form (uncorrected)	-0.3	eV/f.u.

abc: 4.500 6.161 6.161
angles: 46.37 90.00 90.00
Fractional coordinates of all 4 atoms:
Sr 0.000 0.000 0.000
Sr 0.500 0.285 0.285
Sb 0.500 0.587 0.587
Os 0.000 0.701 0.701

---

No. 5
Compound: CdTeMo2
Source: Alexandria via LeMat-Bulk
Functional: PBE
Structure: relaxed

Results
distance to the lowest polymorph of the same formula	0.561	eV/atom
calculated volume	76.3	Å³/cell
E_form (uncorrected)	3.2	eV/f.u.

abc: 2.992 2.992 9.153
angles: 90.00 90.00 111.43
Fractional coordinates of all 4 atoms:
Cd 0.000 0.000 0.000
Te 0.000 0.000 0.500
Mo 0.500 0.500 0.261
Mo 0.500 0.500 0.739

---

No. 6
Compound: LiScGe
Source: Alexandria via LeMat-Bulk
Functional: PBE
Structure: relaxed

Results
calculated volume	122.4	Å³/cell
calculated formation energy	-0.3916	eV per atom

abc: 3.698 4.037 8.439
angles: 76.31 89.41 89.98
Fractional coordinates of all 6 atoms:
Li 0.248 0.289 0.423
Li 0.752 0.711 0.577
Sc 0.254 0.083 0.832
Sc 0.746 0.917 0.168
Ge 0.247 0.445 0.112
Ge 0.753 0.555 0.888

---

No. 7
Compound: AlV2AsN
Source: Alexandria via LeMat-Bulk
Functional: PBE
Structure: relaxed

Results
calculated volume	93.6	Å³/cell
E_form (uncorrected)	10.8	eV/f.u.

abc: 4.602 4.602 4.421
angles: 90.00 90.00 90.00
Fractional coordinates of all 5 atoms:
Al 0.000 0.000 0.000
V 0.000 0.500 0.000
V 0.500 0.000 0.000
As 0.000 0.000 0.500
N 0.500 0.500 0.500

---

No. 8
Compound: Ac12La5Dy2
Source: Alexandria via LeMat-Bulk
Functional: PBE
Structure: relaxed

Results
distance to the lowest polymorph of the same formula	0.000	eV/atom
calculated volume	795.6	Å³/cell
calculated formation energy	0.1045	eV per atom

abc: 11.511 11.511 6.726
angles: 101.03 101.03 66.50
Fractional coordinates of all 19 atoms:
Ac 0.045 0.564 0.797
Ac 0.058 0.058 0.272
Ac 0.147 0.650 0.371
Ac 0.350 0.853 0.629
Ac 0.391 0.391 0.992
Ac 0.436 0.955 0.203
Ac 0.564 0.045 0.797
Ac 0.609 0.609 0.008
Ac 0.650 0.147 0.371
Ac 0.853 0.350 0.629
Ac 0.942 0.942 0.728
Ac 0.955 0.436 0.203
La 0.185 0.185 0.857
La 0.288 0.288 0.438
La 0.500 0.500 0.500
La 0.712 0.712 0.562
La 0.815 0.815 0.143
Dy 0.261 0.739 0.000
Dy 0.739 0.261 0.000